A relaxed UGePt crystal. Source: the Alexandria database, functional GGA-PBE.

Cell lengths 3.5455, 4.3971, 4.3971 Å; angles 120.00, 90.00, 90.00 degrees
Closest atoms and distances in Å follow each position.
Fractional coordinates of all 3 atoms:
1 U 0.6667 0.6667 0.3333  6 Ge 3.10, 6 Pt 3.10
2 Ge 0.1664 0.3333 0.6667  3 Pt 2.54
3 Pt 0.1669 0.0000 0.0000  3 Ge 2.54

## Properties
- SG: P-6m2 (187)
- D(E_F): 2.020 states/eV per atom
- Total DFT energy (no corrections): -7.93 eV/atom
- Calculated formation energy: -1.837 eV per formula unit
- Density: 14.1 g/cm3
- Crystal system: hexagonal



A relaxed UGe2Pt2 crystal. Source: the Alexandria database, functional GGA-PBE.

Cell lengths 5.9947, 5.9947, 5.9947 Å; angles 138.62, 138.62, 59.96 degrees
Closest atoms and distances in Å follow each position.
Fractional coordinates of all 5 atoms:
1 Ge 0.3834 0.3834 0.0000  1 Ge 2.42, 4 Pt 2.53
2 Ge 0.6166 0.6166 0.0000  1 Ge 2.42, 4 Pt 2.53
3 Pt 0.7500 0.2500 0.5000  4 Ge 2.53
4 Pt 0.2500 0.7500 0.5000  4 Ge 2.53
5 U 0.0000 0.0000 0.0000  8 Ge 3.23, 8 Pt 3.35

## Properties
- SG: I4/mmm (139)
- D(E_F): 1.907 states/eV per atom
- Total DFT energy (no corrections): -6.98 eV/atom
- Calculated formation energy: -2.290 eV per formula unit
- Density: 13.8 g/cm3
- Crystal system: tetragonal



A relaxed UGePt3 crystal. Source: the Alexandria database, functional GGA-PBE.

Cell lengths 5.4174, 5.4174, 8.3413 Å; angles 71.05, 71.05, 60.00 degrees
Closest atoms and distances in Å follow each position.
Fractional coordinates of all 10 atoms:
1 Pt 0.7509 0.7510 0.2454  1 Ge 2.66, 4 Pt 2.70-2.72, 2 U 2.96
2 Pt 0.7473 0.2491 0.7546  1 Ge 2.66, 4 Pt 2.70-2.72, 2 U 2.96
3 Pt 0.2491 0.2490 0.7546  1 Ge 2.66, 4 Pt 2.70-2.72, 2 U 2.96
4 Pt 0.7510 0.2527 0.2454  1 Ge 2.66, 4 Pt 2.70-2.72, 2 U 2.96
5 Pt 0.2490 0.7473 0.7546  1 Ge 2.66, 4 Pt 2.70-2.72, 2 U 2.96
6 Pt 0.2527 0.7509 0.2454  1 Ge 2.66, 4 Pt 2.70-2.72, 2 U 2.96
7 Ge 0.1743 0.1743 0.4770  3 Pt 2.66
8 Ge 0.8257 0.8257 0.5230  3 Pt 2.66
9 U 0.3029 0.3029 0.0914  9 Pt 2.96-3.04, 1 Ge 2.98
10 U 0.6971 0.6971 0.9086  9 Pt 2.96-3.04, 1 Ge 2.98

## Properties
- SG: R-3m (166)
- D(E_F): 1.350 states/eV per atom
- Total DFT energy (no corrections): -7.19 eV/atom
- Calculated formation energy: -1.926 eV per formula unit
- Density: 15.1 g/cm3
- Crystal system: trigonal



A relaxed U2GePt crystal. Source: the Alexandria database, functional GGA-PBE.

Cell lengths 4.9060, 3.8516, 3.8516 Å; angles 90.00, 90.00, 90.00 degrees
Closest atoms and distances in Å follow each position.
Fractional coordinates of all 4 atoms:
1 U 0.0000 0.0000 0.5000  4 U 2.72
2 U 0.0000 0.5000 0.0000  4 U 2.72
3 Pt 0.5000 0.0000 0.0000  4 Ge 2.72
4 Ge 0.5000 0.5000 0.5000  4 Pt 2.72

## Properties
- SG: P4/mmm (123)
- D(E_F): 1.541 states/eV per atom
- Total DFT energy (no corrections): -8.67 eV/atom
- Calculated formation energy: -1.428 eV per formula unit
- Density: 17.0 g/cm3
- Crystal system: tetragonal



A relaxed UGe3Pt3 crystal. Source: the Alexandria database, functional GGA-PBE.

Cell lengths 6.8039, 6.8039, 6.8039 Å; angles 90.00, 90.00, 90.00 degrees
Closest atoms and distances in Å follow each position.
Fractional coordinates of all 14 atoms:
1 Pt 0.0000 0.2500 0.5000  4 Ge 2.41
2 Pt 0.2500 0.5000 0.0000  4 Ge 2.41
3 Pt 0.7500 0.5000 0.0000  4 Ge 2.41
4 Pt 0.0000 0.7500 0.5000  4 Ge 2.41
5 Pt 0.5000 0.0000 0.2500  4 Ge 2.41
6 Pt 0.5000 0.0000 0.7500  4 Ge 2.41
7 Ge 0.2500 0.0000 0.5000  4 Pt 2.41
8 Ge 0.0000 0.5000 0.7500  4 Pt 2.41
9 Ge 0.7500 0.0000 0.5000  4 Pt 2.41
10 Ge 0.5000 0.7500 0.0000  4 Pt 2.41
11 Ge 0.0000 0.5000 0.2500  4 Pt 2.41
12 Ge 0.5000 0.2500 0.0000  4 Pt 2.41
13 U 0.0000 0.0000 0.0000  12 Pt 3.80, 12 Ge 3.80
14 U 0.5000 0.5000 0.5000  12 Ge 3.80, 12 Pt 3.80

## Properties
- SG: Pm-3n (223)
- D(E_F): 1.053 states/eV per atom
- Total DFT energy (no corrections): -6.28 eV/atom
- Calculated formation energy: -0.715 eV per formula unit
- Density: 11.0 g/cm3
- Crystal system: cubic



A relaxed U2ZnGe4Pt3 crystal. Source: the Alexandria database, functional GGA-PBE.

Cell lengths 4.2037, 4.2037, 10.6190 Å; angles 90.00, 90.00, 90.00 degrees
Closest atoms and distances in Å follow each position.
Fractional coordinates of all 10 atoms:
1 Ge 0.5000 0.5000 0.0000  4 Pt 2.54
2 Ge 0.5000 0.0000 0.6370  3 Pt 2.44-2.56, 2 Zn 2.56
3 Ge 0.0000 0.0000 0.0000  4 Pt 2.54
4 Ge 0.0000 0.5000 0.3630  3 Pt 2.44-2.56, 2 Zn 2.56
5 Pt 0.0000 0.5000 0.1336  5 Ge 2.44-2.54
6 Pt 0.0000 0.0000 0.5000  4 Ge 2.56
7 Pt 0.5000 0.0000 0.8664  5 Ge 2.44-2.54
8 U 0.0000 0.5000 0.7487  8 Ge 3.20-3.40, 6 Pt 3.22-3.38, 2 Zn 3.38
9 U 0.5000 0.0000 0.2513  8 Ge 3.20-3.40, 6 Pt 3.22-3.38, 2 Zn 3.38
10 Zn 0.5000 0.5000 0.5000  4 Ge 2.56

## Properties
- SG: P-4m2 (115)
- D(E_F): 1.403 states/eV per atom
- Total DFT energy (no corrections): -6.51 eV/atom
- Calculated formation energy: -4.702 eV per formula unit
- Density: 12.5 g/cm3
- Crystal system: tetragonal



A relaxed V2GePt crystal. Source: the Alexandria database, functional GGA-PBE.

Cell lengths 6.8977, 6.8977, 5.5380 Å; angles 51.48, 51.48, 90.00 degrees
Closest atoms and distances in Å follow each position.
Fractional coordinates of all 8 atoms:
1 Ge 0.5000 0.5000 0.0000  4 V 2.52, 2 Pt 2.62
2 Ge 0.2500 0.7500 0.5000  4 V 2.52, 2 Pt 2.62
3 V 0.8750 0.8735 0.7500  2 Ge 2.52, 2 Pt 2.53, 2 V 2.62
4 V 0.3750 0.3765 0.7500  2 Ge 2.52, 2 Pt 2.53, 2 V 2.62
5 V 0.1265 0.6250 0.2500  2 Ge 2.52, 2 Pt 2.53, 2 V 2.62
6 V 0.6235 0.1250 0.2500  2 Ge 2.52, 2 Pt 2.53, 2 V 2.62
7 Pt 0.0000 0.0000 0.0000  4 V 2.53, 2 Ge 2.62
8 Pt 0.7500 0.2500 0.5000  4 V 2.53, 2 Ge 2.62

## Properties
- SG: I-42d (122)
- D(E_F): 0.841 states/eV per atom
- Total DFT energy (no corrections): -7.18 eV/atom
- Calculated formation energy: 0.172 eV per formula unit
- Density: 9.8 g/cm3
- Crystal system: tetragonal



A relaxed VGe2Pt crystal. Source: the Alexandria database, functional GGA-PBE.

Cell lengths 3.2677, 4.2901, 4.2901 Å; angles 90.00, 90.00, 90.00 degrees
Closest atoms and distances in Å follow each position.
Fractional coordinates of all 4 atoms:
1 Pt 0.5000 0.5000 0.5000  8 Ge 2.70
2 Ge 0.0000 0.0000 0.5000  4 Pt 2.70, 4 V 2.70
3 Ge 0.0000 0.5000 0.0000  4 Pt 2.70, 4 V 2.70
4 V 0.5000 0.0000 0.0000  8 Ge 2.70

## Properties
- SG: P4/mmm (123)
- D(E_F): 0.760 states/eV per atom
- Total DFT energy (no corrections): -6.31 eV/atom
- Calculated formation energy: -0.836 eV per formula unit
- Density: 10.8 g/cm3
- Crystal system: tetragonal



A relaxed V2Ge2Pt crystal. Source: the Alexandria database, functional GGA-PBE.

Cell lengths 7.0992, 7.0992, 2.9884 Å; angles 90.00, 90.00, 90.00 degrees
Closest atoms and distances in Å follow each position.
Fractional coordinates of all 10 atoms:
1 Ge 0.1840 0.6840 0.5000  6 V 2.52-2.64
2 Ge 0.6840 0.8160 0.5000  6 V 2.52-2.64
3 Ge 0.8160 0.3160 0.5000  6 V 2.52-2.64
4 Ge 0.3160 0.1840 0.5000  6 V 2.52-2.64
5 Pt 0.0000 0.0000 0.0000  4 V 2.86, 2 Pt 2.99, 8 Ge 3.00
6 Pt 0.5000 0.5000 0.0000  4 V 2.86, 2 Pt 2.99, 8 Ge 3.00
7 V 0.1143 0.3857 0.0000  1 V 2.29, 2 Ge 2.52
8 V 0.6143 0.1143 0.0000  1 V 2.29, 2 Ge 2.52
9 V 0.8857 0.6143 0.0000  1 V 2.29, 2 Ge 2.52
10 V 0.3857 0.8857 0.0000  1 V 2.29, 2 Ge 2.52

## Properties
- E above lowest polymorph: 149 meV/atom
- SG: P4/mbm (127)
- D(E_F): 0.825 states/eV per atom
- Total DFT energy (no corrections): -6.77 eV/atom
- Calculated formation energy: -0.336 eV per formula unit
- Density: 9.8 g/cm3
- Crystal system: tetragonal



A relaxed VGe2Pt crystal. Source: the Alexandria database, functional GGA-PBE.

Cell lengths 4.4038, 4.4038, 4.4038 Å; angles 60.00, 60.00, 60.00 degrees
Closest atoms and distances in Å follow each position.
Fractional coordinates of all 4 atoms:
1 Pt 0.5000 0.5000 0.5000  8 Ge 2.70
2 Ge 0.7500 0.7500 0.7500  4 Pt 2.70, 4 V 2.70
3 Ge 0.2500 0.2500 0.2500  4 Pt 2.70, 4 V 2.70
4 V 0.0000 0.0000 0.0000  8 Ge 2.70

## Properties
- SG: Fm-3m (225)
- D(E_F): 0.986 states/eV per atom
- Total DFT energy (no corrections): -6.18 eV/atom
- Calculated formation energy: -0.315 eV per formula unit
- Density: 10.8 g/cm3
- Crystal system: cubic



A relaxed VGePt2 crystal. Source: the Alexandria database, functional GGA-PBE.

Cell lengths 4.0104, 3.8876, 3.8876 Å; angles 90.00, 90.00, 90.00 degrees
Closest atoms and distances in Å follow each position.
Fractional coordinates of all 4 atoms:
1 Pt 0.0000 0.0000 0.5000  4 Pt 2.75, 4 Ge 2.79, 4 V 2.79
2 Pt 0.0000 0.5000 0.0000  4 Pt 2.75, 4 V 2.79, 4 Ge 2.79
3 Ge 0.5000 0.5000 0.5000  4 V 2.75, 8 Pt 2.79
4 V 0.5000 0.0000 0.0000  4 Ge 2.75, 8 Pt 2.79

## Properties
- SG: P4/mmm (123)
- D(E_F): 1.135 states/eV per atom
- Total DFT energy (no corrections): -6.79 eV/atom
- Calculated formation energy: -1.332 eV per formula unit
- Density: 14.1 g/cm3
- Crystal system: tetragonal



A relaxed VGe2Pt crystal. Source: the Alexandria database, functional GGA-PBE.

Cell lengths 2.8603, 2.8603, 9.1360 Å; angles 80.99, 80.99, 60.00 degrees
Closest atoms and distances in Å follow each position.
Fractional coordinates of all 4 atoms:
1 Ge 0.9090 0.9090 0.2729  1 Pt 2.45, 3 V 2.63
2 Ge 0.0910 0.0910 0.7271  1 Pt 2.45, 3 V 2.63
3 Pt 0.0000 0.0000 0.0000  2 Ge 2.45
4 V 0.5000 0.5000 0.5000  6 Ge 2.63, 6 V 2.86

## Properties
- SG: R-3m (166)
- D(E_F): 0.645 states/eV per atom
- Total DFT energy (no corrections): -6.22 eV/atom
- Calculated formation energy: -0.493 eV per formula unit
- Density: 10.2 g/cm3
- Crystal system: trigonal



Among the records above, which one has the highest total DFT energy (no corrections)? number 10